(1)
# Co2CuTc, relaxed, DFT GGA-PBEsol
data_Co2CuTc
_chemical_formula_sum 'Co2 Cu1 Tc1'
_cell_length_a 2.560
_cell_length_b 3.478
_cell_length_c 5.061
_cell_angle_alpha 90.00
_cell_angle_beta 90.00
_cell_angle_gamma 90.00
_symmetry_space_group_name_H-M 'P m m m'
_symmetry_Int_Tables_number 47
_symmetry_space_group_name_Hall '-P 2 2'
loop_
_atom_site_label
_atom_site_type_symbol
_atom_site_fract_x
_atom_site_fract_y
_atom_site_fract_z
Co1 Co 0.000 0.000 0.250
Cu1 Cu 0.500 0.500 0.000
Tc1 Tc 0.500 0.500 0.500
# Distance to the lowest polymorph of the same formula (eV per atom): 0.000
# Magnetic moment (μB per formula unit): 0.0
# DOS(E_F) (states/eV per cell): 3.7
# Crystal system: orthorhombic
# Calculated formation energy (eV/atom): 0.118

---

(2)
# Cs2NaInH6, relaxed, DFT GGA-PBEsol
data_Cs2NaInH6
_chemical_formula_sum 'Cs8 Na4 In4 H24'
_cell_length_a 8.654
_cell_length_b 8.654
_cell_length_c 8.654
_cell_angle_alpha 90.00
_cell_angle_beta 90.00
_cell_angle_gamma 90.00
_symmetry_space_group_name_H-M 'F m -3 m'
_symmetry_Int_Tables_number 225
_symmetry_space_group_name_Hall '-F 4 2 3'
loop_
_atom_site_label
_atom_site_type_symbol
_atom_site_fract_x
_atom_site_fract_y
_atom_site_fract_z
Cs1 Cs 0.250 0.250 0.250
Na1 Na 0.000 0.000 0.000
In1 In 0.000 0.000 0.500
H1 H 0.000 0.000 0.273
# Magnetic moment (μB per formula unit): 0.0
# VASP energy (eV per atom): -2.7437
# Crystal system: cubic

---

(3)
# Mn2TlRu, relaxed, DFT GGA-PBEsol
data_Mn2TlRu
_chemical_formula_sum 'Mn2 Tl1 Ru1'
_cell_length_a 3.074
_cell_length_b 3.074
_cell_length_c 6.478
_cell_angle_alpha 90.00
_cell_angle_beta 90.00
_cell_angle_gamma 90.00
_symmetry_space_group_name_H-M 'P 4/m m m'
_symmetry_Int_Tables_number 123
_symmetry_space_group_name_Hall '-P 4 2'
loop_
_atom_site_label
_atom_site_type_symbol
_atom_site_fract_x
_atom_site_fract_y
_atom_site_fract_z
Mn1 Mn 0.000 0.000 0.213
Tl1 Tl 0.500 0.500 0.500
Ru1 Ru 0.500 0.500 0.000
# Distance to the lowest polymorph of the same formula (eV per atom): 0.000
# Magnetic moment (μB per formula unit): 7.0
# DOS(E_F) (states/eV per cell): 2.7
# Crystal system: tetragonal
# Calculated formation energy (eV/atom): 0.437

---

(4)
# SiNi2Hg, relaxed, DFT GGA-PBEsol
data_SiNi2Hg
_chemical_formula_sum 'Si1 Ni2 Hg1'
_cell_length_a 2.818
_cell_length_b 2.818
_cell_length_c 6.499
_cell_angle_alpha 90.00
_cell_angle_beta 90.00
_cell_angle_gamma 90.00
_symmetry_space_group_name_H-M 'P 4/m m m'
_symmetry_Int_Tables_number 123
_symmetry_space_group_name_Hall '-P 4 2'
loop_
_atom_site_label
_atom_site_type_symbol
_atom_site_fract_x
_atom_site_fract_y
_atom_site_fract_z
Si1 Si 0.000 0.000 0.000
Ni1 Ni 0.500 0.500 0.194
Hg1 Hg 0.000 0.000 0.500
# Distance to the lowest polymorph of the same formula (eV per atom): 0.000
# E_form (uncorrected) (meV per atom): -288.4
# Magnetic moment (μB per formula unit): 0.0
# DOS(E_F) (states/eV per cell): 1.5
# Crystal system: tetragonal

---

(5)
# AlCr2Sb, relaxed, DFT GGA-PBEsol
data_AlCr2Sb
_chemical_formula_sum 'Al1 Cr2 Sb1'
_cell_length_a 3.189
_cell_length_b 3.189
_cell_length_c 5.678
_cell_angle_alpha 90.00
_cell_angle_beta 90.00
_cell_angle_gamma 90.00
_symmetry_space_group_name_H-M 'P 4 m m'
_symmetry_Int_Tables_number 99
_symmetry_space_group_name_Hall 'P 4 -2'
loop_
_atom_site_label
_atom_site_type_symbol
_atom_site_fract_x
_atom_site_fract_y
_atom_site_fract_z
Al1 Al 0.000 0.000 0.000
Cr1 Cr 0.000 0.000 0.447
Cr2 Cr 0.500 0.500 0.198
Sb1 Sb 0.500 0.500 0.687
# Distance to the lowest polymorph of the same formula (eV per atom): 0.000
# E_form (uncorrected) (meV per atom): 185.9
# Magnetic moment (μB per formula unit): 0.0
# DOS(E_F) (states/eV per cell): 2.0
# Crystal system: tetragonal

---

(6)
# AlHg3I, relaxed, DFT GGA-PBEsol
data_AlHg3I
_chemical_formula_sum 'Al1 Hg3 I1'
_cell_length_a 5.832
_cell_length_b 5.832
_cell_length_c 5.832
_cell_angle_alpha 90.00
_cell_angle_beta 90.00
_cell_angle_gamma 90.00
_symmetry_space_group_name_H-M 'P m -3 m'
_symmetry_Int_Tables_number 221
_symmetry_space_group_name_Hall '-P 4 2 3'
loop_
_atom_site_label
_atom_site_type_symbol
_atom_site_fract_x
_atom_site_fract_y
_atom_site_fract_z
Al1 Al 0.000 0.000 0.000
Hg1 Hg 0.000 0.500 0.500
I1 I 0.500 0.500 0.500
# E_form (uncorrected) (meV per atom): 831.3
# Magnetic moment (μB per formula unit): 0.0
# DOS(E_F) (states/eV per cell): 3.3
# Crystal system: cubic

---

(7)
# TiP2O7, relaxed, DFT GGA-PBEsol
data_TiP2O7
_chemical_formula_sum 'Ti2 P4 O14'
_cell_length_a 4.871
_cell_length_b 8.041
_cell_length_c 7.006
_cell_angle_alpha 90.00
_cell_angle_beta 105.25
_cell_angle_gamma 90.00
_symmetry_space_group_name_H-M 'P 1 21 1'
_symmetry_Int_Tables_number 4
_symmetry_space_group_name_Hall 'P 2yb'
loop_
_atom_site_label
_atom_site_type_symbol
_atom_site_fract_x
_atom_site_fract_y
_atom_site_fract_z
Ti1 Ti 0.213 0.000 0.231
P1 P 0.247 0.741 0.615
P2 P 0.388 0.315 0.003
O1 O 0.015 0.182 0.325
O2 O 0.144 0.439 0.951
O3 O 0.164 0.849 0.430
O4 O 0.285 0.138 0.021
O5 O 0.422 0.825 0.139
O6 O 0.423 0.866 0.781
O7 O 0.442 0.596 0.597
# Distance to the lowest polymorph of the same formula (eV per atom): 0.000
# E_form (uncorrected) (meV per atom): -2489.5
# Magnetic moment (μB per formula unit): 0.0
# DOS(E_F) (states/eV per cell): 0.0
# Crystal system: monoclinic

---

(8)
# Mn2ZnAg, relaxed, DFT GGA-PBEsol
data_Mn2ZnAg
_chemical_formula_sum 'Mn4 Zn2 Ag2'
_cell_length_a 5.468
_cell_length_b 7.504
_cell_length_c 2.781
_cell_angle_alpha 90.00
_cell_angle_beta 90.00
_cell_angle_gamma 90.00
_symmetry_space_group_name_H-M 'C m m m'
_symmetry_Int_Tables_number 65
_symmetry_space_group_name_Hall '-C 2 2'
loop_
_atom_site_label
_atom_site_type_symbol
_atom_site_fract_x
_atom_site_fract_y
_atom_site_fract_z
Mn1 Mn 0.250 0.250 0.000
Zn1 Zn 0.000 0.000 0.500
Ag1 Ag 0.000 0.500 0.500
# Magnetic moment (μB per formula unit): 6.9
# DOS(E_F) (states/eV per cell): 7.1
# Crystal system: orthorhombic
# Calculated formation energy (eV/atom): 0.330

---

Q: Which value of magnetic moment does entry 3 give?
A: 7.0 μB per formula unit

---

Q: The highest magnetic moment belongs to which entry?
A: Mn2TlRu

---

What did the first record say?
# Co2CuTc, relaxed, DFT GGA-PBEsol
data_Co2CuTc
_chemical_formula_sum 'Co2 Cu1 Tc1'
_cell_length_a 2.560
_cell_length_b 3.478
_cell_length_c 5.061
_cell_angle_alpha 90.00
_cell_angle_beta 90.00
_cell_angle_gamma 90.00
_symmetry_space_group_name_H-M 'P m m m'
_symmetry_Int_Tables_number 47
_symmetry_space_group_name_Hall '-P 2 2'
loop_
_atom_site_label
_atom_site_type_symbol
_atom_site_fract_x
_atom_site_fract_y
_atom_site_fract_z
Co1 Co 0.000 0.000 0.250
Cu1 Cu 0.500 0.500 0.000
Tc1 Tc 0.500 0.500 0.500
# Distance to the lowest polymorph of the same formula (eV per atom): 0.000
# Magnetic moment (μB per formula unit): 0.0
# DOS(E_F) (states/eV per cell): 3.7
# Crystal system: orthorhombic
# Calculated formation energy (eV/atom): 0.118

---

Q: What is the magnetic moment in the first record?
A: 0.0 μB per formula unit